Zn3AuBr PBE relaxed; crystal system = cubic; E_form (uncorrected) = 0.76 eV per atom; symmetry = Pm-3m; excess energy over the best structure of this formula in the dataset = 79.6 kJ/mol of atoms
1.0
-1.976 -2.952 3.764
3.409 -3.725 -1.133
3.355 2.047 3.367
Zn Au Br
3 1 1
direct
0.000 0.500 0.000 Zn
0.000 0.000 0.500 Zn
0.500 0.000 0.000 Zn
0.500 0.500 0.500 Au
0.000 0.000 0.000 Br


ZnAu4Br PBE relaxed; crystal system = cubic; E_form (uncorrected) = 0.17 eV per atom; symmetry = F-43m
1.0
1.124 -5.393 1.008
2.077 -1.547 4.966
-3.179 -2.900 3.584
Zn Au Br
1 4 1
direct
0.000 0.000 0.000 Zn
0.876 0.375 0.375 Au
0.375 0.375 0.876 Au
0.375 0.876 0.375 Au
0.375 0.375 0.375 Au
0.750 0.750 0.750 Br


ZnAu3Br PBE relaxed; crystal system = cubic; E_form (uncorrected) = 0.87 eV per atom; symmetry = Pm-3m
1.0
5.224 0.000 0.000
0.000 5.224 0.000
0.000 0.000 5.224
Zn Au Br
1 3 1
direct
0.500 0.500 0.500 Zn
0.000 0.500 0.000 Au
0.000 0.000 0.500 Au
0.500 0.000 0.000 Au
0.000 0.000 0.000 Br


ZnAuBr2 PBE relaxed; crystal system = orthorhombic; E_form (uncorrected) = 0.02 eV per atom; symmetry = Pmmm; excess energy over the best structure of this formula in the dataset = 28.2 kJ/mol of atoms
1.0
3.879 0.000 0.000
0.000 7.291 0.000
0.000 0.000 3.876
Au Br Zn
1 2 1
direct
0.000 0.500 0.500 Au
0.000 0.000 0.000 Br
0.500 0.500 0.000 Br
0.500 0.000 0.500 Zn


Zn3AuBr PBE relaxed; crystal system = cubic; E_form (uncorrected) = -0.06 eV per atom; symmetry = Pm-3m; excess energy over the best structure of this formula in the dataset = 0.0 kJ/mol of atoms
1.0
5.007 0.000 0.000
0.000 5.007 0.000
0.000 0.000 5.007
Zn Au Br
3 1 1
direct
0.000 0.500 0.000 Zn
0.000 0.000 0.500 Zn
0.500 0.000 0.000 Zn
0.000 0.000 0.000 Au
0.500 0.500 0.500 Br


ZnAu2Br PBE relaxed; crystal system = monoclinic; E_form (uncorrected) = -0.12 eV per atom; symmetry = Cm; excess energy over the best structure of this formula in the dataset = 8.2 kJ/mol of atoms
1.0
-1.200 -4.003 2.269
1.742 -4.413 -0.310
3.988 4.544 3.826
Au Br Zn
2 1 1
direct
0.984 0.984 0.020 Au
0.630 0.630 0.881 Au
0.565 0.565 0.474 Br
0.321 0.321 0.125 Zn


Zn2AuBr PBE relaxed; crystal system = tetragonal; E_form (uncorrected) = 0.10 eV per atom; symmetry = P4/mmm; excess energy over the best structure of this formula in the dataset = 33.7 kJ/mol of atoms
1.0
-2.025 2.108 -0.670
0.159 -1.396 -4.876
-3.739 -3.328 0.831
Au Br Zn
1 1 2
direct
0.500 0.500 0.000 Au
0.500 0.000 0.500 Br
0.000 0.000 0.000 Zn
0.000 0.500 0.500 Zn


ZnAuBr2 PBE relaxed; crystal system = monoclinic; E_form (uncorrected) = -0.02 eV per atom; symmetry = P2/m; excess energy over the best structure of this formula in the dataset = 24.2 kJ/mol of atoms
1.0
3.813 0.000 0.000
0.000 5.133 0.276
0.000 -0.332 5.839
Au Br Zn
1 2 1
direct
0.500 0.750 0.750 Au
0.000 0.013 0.010 Br
0.000 0.487 0.490 Br
0.500 0.250 0.250 Zn


Zn2AuBr PBE relaxed; crystal system = monoclinic; E_form (uncorrected) = -0.25 eV per atom; symmetry = Cm; excess energy over the best structure of this formula in the dataset = 0.0 kJ/mol of atoms
1.0
4.636 0.083 -0.023
3.069 3.475 -0.023
-0.390 -0.180 6.156
Au Br Zn
1 1 2
direct
0.438 0.438 0.748 Au
0.189 0.189 0.277 Br
0.141 0.141 0.872 Zn
0.732 0.732 0.604 Zn


ZnAu2Br PBE relaxed; crystal system = monoclinic; E_form (uncorrected) = -0.20 eV per atom; symmetry = Pm; excess energy over the best structure of this formula in the dataset = 0.0 kJ/mol of atoms
1.0
-1.135 -1.561 3.124
3.201 -2.593 -0.132
3.613 4.449 3.536
Au Br Zn
2 1 1
direct
0.000 0.755 0.088 Au
0.500 0.254 0.060 Au
0.000 0.742 0.549 Br
0.500 0.748 0.803 Zn


ZnAu2Br PBE relaxed; crystal system = orthorhombic; E_form (uncorrected) = 0.02 eV per atom; symmetry = Imm2; excess energy over the best structure of this formula in the dataset = 21.2 kJ/mol of atoms
1.0
-4.233 1.381 5.109
-4.049 -3.821 3.864
6.058 1.501 -2.641
Au Br Zn
2 1 1
direct
0.081 0.081 0.000 Au
0.724 0.224 0.500 Au
0.437 0.437 0.000 Br
0.257 0.757 0.500 Zn


Zn2AuBr PBE relaxed; crystal system = tetragonal; E_form (uncorrected) = -0.08 eV per atom; symmetry = I-42d; excess energy over the best structure of this formula in the dataset = 15.7 kJ/mol of atoms
1.0
-5.777 2.520 -2.951
-3.881 -3.810 4.343
-4.853 2.293 3.252
Zn Au Br
4 2 2
direct
0.646 0.125 0.250 Zn
0.104 0.625 0.250 Zn
0.375 0.354 0.750 Zn
0.875 0.896 0.750 Zn
0.000 0.000 0.000 Au
0.750 0.250 0.500 Au
0.500 0.500 0.000 Br
0.250 0.750 0.500 Br


ZnAuBr2 PBE relaxed; crystal system = tetragonal; E_form (uncorrected) = 0.21 eV per atom; symmetry = P4/mmm; excess energy over the best structure of this formula in the dataset = 46.5 kJ/mol of atoms
1.0
-1.427 -2.949 1.192
-0.135 -1.249 -3.251
6.670 -2.890 0.834
Au Br Zn
1 2 1
direct
0.500 0.500 0.750 Au
0.000 0.000 0.019 Br
0.000 0.000 0.481 Br
0.500 0.500 0.250 Zn


ZnAuBr2 PBE relaxed; crystal system = tetragonal; E_form (uncorrected) = -0.01 eV per atom; symmetry = I-42d; excess energy over the best structure of this formula in the dataset = 24.7 kJ/mol of atoms
1.0
-5.321 3.454 -2.057
1.551 -1.384 -6.337
-4.922 -3.497 -3.950
Zn Au Br
2 2 4
direct
0.500 0.500 0.000 Zn
0.250 0.750 0.500 Zn
0.000 0.000 0.000 Au
0.750 0.250 0.500 Au
0.568 0.125 0.250 Br
0.182 0.625 0.250 Br
0.375 0.432 0.750 Br
0.875 0.818 0.750 Br


ZnAuBr2 PBE relaxed; crystal system = tetragonal; E_form (uncorrected) = 0.02 eV per atom; symmetry = I-4m2; excess energy over the best structure of this formula in the dataset = 27.8 kJ/mol of atoms
1.0
-0.453 -4.558 -6.266
-0.226 -7.572 -1.694
-2.395 6.110 4.146
Au Br Zn
1 2 1
direct
0.750 0.250 0.500 Au
0.000 0.000 0.000 Br
0.250 0.750 0.500 Br
0.500 0.500 0.000 Zn


Zn2AuBr PBE relaxed; crystal system = trigonal; E_form (uncorrected) = -0.06 eV per atom; symmetry = R3m; excess energy over the best structure of this formula in the dataset = 18.4 kJ/mol of atoms
1.0
8.224 -0.042 -0.025
7.489 3.399 -0.025
7.489 1.600 2.999
Au Br Zn
1 1 2
direct
0.517 0.517 0.517 Au
0.733 0.733 0.733 Br
0.996 0.996 0.996 Zn
0.253 0.253 0.253 Zn


ZnAu2Br PBE relaxed; crystal system = monoclinic; E_form (uncorrected) = 0.12 eV per atom; symmetry = C2/m; excess energy over the best structure of this formula in the dataset = 31.2 kJ/mol of atoms
1.0
-5.695 -3.166 -1.633
6.460 -1.776 -0.490
0.305 -3.750 1.319
Au Br Zn
2 1 1
direct
0.000 0.000 0.000 Au
0.500 0.500 0.000 Au
0.500 0.000 0.500 Br
0.000 0.500 0.500 Zn


Zn2AuBr PBE relaxed; crystal system = cubic; E_form (uncorrected) = 0.35 eV per atom; symmetry = F-43m; excess energy over the best structure of this formula in the dataset = 57.6 kJ/mol of atoms
1.0
-2.018 -3.112 3.200
2.768 -3.394 2.195
1.026 0.388 4.775
Au Br Zn
1 1 2
direct
0.500 0.500 0.500 Au
0.750 0.750 0.750 Br
0.000 0.000 0.000 Zn
0.250 0.250 0.250 Zn


ZnAuBr2 PBE relaxed; crystal system = tetragonal; E_form (uncorrected) = 0.03 eV per atom; symmetry = P4mm; excess energy over the best structure of this formula in the dataset = 28.6 kJ/mol of atoms
1.0
-2.079 0.433 2.747
-0.953 -3.333 -0.196
6.247 -2.084 5.055
Au Br Zn
1 2 1
direct
0.500 0.500 0.709 Au
0.000 0.000 0.910 Br
0.500 0.500 0.345 Br
0.000 0.000 0.537 Zn


Zn2AuBr PBE relaxed; crystal system = orthorhombic; E_form (uncorrected) = -0.04 eV per atom; symmetry = Cmmm; excess energy over the best structure of this formula in the dataset = 20.0 kJ/mol of atoms
1.0
3.587 -0.058 0.000
-1.697 3.161 0.000
0.000 0.000 7.858
Au Br Zn
1 1 2
direct
0.500 0.500 0.250 Au
0.500 0.500 0.750 Br
0.000 0.000 0.017 Zn
0.000 0.000 0.483 Zn